Ac2MgGa4Au3 PBE relaxed; calculated formation energy = -0.633 eV per atom; magnetic moment = 0.000 μB per atom; total energy = -3.8081 eV per atom; DOS at the Fermi energy = 6.45 states/eV/f.u.; space-group type = No. 115
1.0
4.489 0.000 0.000
0.000 4.489 0.000
0.000 0.000 11.245
Ac Mg Ga Au
2 1 4 3
direct
0.500 0.000 0.245 Ac
0.000 0.500 0.755 Ac
0.500 0.500 0.500 Mg
0.500 0.500 0.000 Ga
0.000 0.000 0.000 Ga
0.500 0.000 0.639 Ga
0.000 0.500 0.361 Ga
0.000 0.000 0.500 Au
0.500 0.000 0.872 Au
0.000 0.500 0.128 Au


Ba2ErTcN4 PBE relaxed; magnetic moment = 0.000 μB per atom; total energy = -6.8548 eV per atom; energy relative to the elements, uncorrected = -345 meV/atom; DOS at the Fermi energy = 5.02 states/eV/f.u.; space-group type = No. 70
1.0
5.820 0.000 0.000
2.910 6.034 0.000
2.910 0.000 10.475
Ba Er Tc N
4 2 2 8
direct
0.184 0.000 0.631 Ba
0.816 0.000 0.369 Ba
0.566 0.500 0.869 Ba
0.934 0.500 0.131 Ba
0.750 0.500 0.500 Er
0.000 0.000 0.000 Er
0.250 0.500 0.500 Tc
0.500 0.000 0.000 Tc
0.345 0.813 0.085 N
0.243 0.187 0.915 N
0.842 0.813 0.915 N
0.570 0.187 0.085 N
0.405 0.687 0.415 N
0.507 0.313 0.585 N
0.908 0.687 0.585 N
0.180 0.313 0.415 N


TcSn3Hg PBE relaxed; calculated formation energy = 1.339 eV per atom; magnetic moment = 0.715 μB per atom; total energy = -3.1963 eV per atom; DOS at the Fermi energy = 4.32 states/eV/f.u.; space-group type = No. 221
1.0
-1.159 1.751 5.058
-5.332 0.075 -1.247
-0.468 -5.188 1.689
Tc Hg Sn
1 1 3
direct
0.500 0.500 0.500 Tc
0.000 0.000 0.000 Hg
0.000 0.500 0.000 Sn
0.000 0.000 0.500 Sn
0.500 0.000 0.000 Sn


Which formula does entry 3 have? TcSn3Hg


The highest DOS at the Fermi energy belongs to which entry? Ac2MgGa4Au3


Please write out number 1 again, unchanged.
Ac2MgGa4Au3 PBE relaxed; calculated formation energy = -0.633 eV per atom; magnetic moment = 0.000 μB per atom; total energy = -3.8081 eV per atom; DOS at the Fermi energy = 6.45 states/eV/f.u.; space-group type = No. 115
1.0
4.489 0.000 0.000
0.000 4.489 0.000
0.000 0.000 11.245
Ac Mg Ga Au
2 1 4 3
direct
0.500 0.000 0.245 Ac
0.000 0.500 0.755 Ac
0.500 0.500 0.500 Mg
0.500 0.500 0.000 Ga
0.000 0.000 0.000 Ga
0.500 0.000 0.639 Ga
0.000 0.500 0.361 Ga
0.000 0.000 0.500 Au
0.500 0.000 0.872 Au
0.000 0.500 0.128 Au